The following is a DFT calculation (PBE+U) of a relaxed UCrPb2O8 crystal.

a = 5.089 Å, b = 5.089 Å, c = 6.628 Å
α = 90.00°, β = 90.00°, γ = 91.00°
Sites, in units of the cell vectors:
1 U 0.000 0.000 0.000
2 Cr 0.000 0.000 0.500
3 Pb 0.500 0.500 0.262
4 Pb 0.500 0.500 0.738
5 O 0.175 0.825 0.249
6 O 0.175 0.825 0.751
7 O 0.285 0.285 0.500
8 O 0.300 0.300 0.000
9 O 0.700 0.700 0.000
10 O 0.715 0.715 0.500
11 O 0.825 0.175 0.249
12 O 0.825 0.175 0.751

Output
- Total magnetic moment: 3.1 Bohr magnetons per cell
- E_tot: -7.272 eV/atom
- Calculated volume: 14.304 A^3/atom